Compound: RbVZn2
Source: Alexandria via LeMat-Bulk
Functional: PBE
Structure: relaxed Values from VASP.

## Properties
- SG = I4_1/amd, No. 141
- energy relative to the elements (kJ/mol of formula units) = 273
- distance to the lowest polymorph of the same formula (meV/atom) = 0
- VASP energy (eV per atom) = -2.45
- total magnetic moment (μB/cell) = 7.79
- ρ (g/cm³) = 3.41

Quantum ESPRESSO input file:
```
&SYSTEM
  ibrav = 0, nat = 8, ntyp = 3
/
ATOMIC_SPECIES
Rb 85.47 Rb.upf
V 50.94 V.upf
Zn 65.41 Zn.upf
ATOMIC_POSITIONS crystal
Rb 0.3750 0.6250 0.7500
Rb 0.6250 0.3750 0.2500
V 0.1250 0.8750 0.2500
V 0.8750 0.1250 0.7500
Zn 0.0000 0.0000 0.0000
Zn 0.0000 0.0000 0.5000
Zn 0.0000 0.5000 0.0000
Zn 0.5000 0.0000 0.5000
CELL_PARAMETERS angstrom
-2.6669 2.6669 9.1535
2.6669 -2.6669 9.1535
2.6669 2.6669 -9.1535
```